Entry 1:
Entry from Alexandria: Sr2Ca2Ac3 after structural relaxation (PBE-GGA).

## Properties
**Symmetry**: Cmmm
**Electronic total energy**: -19.27 eV for the cell shown
**DFT formation energy**: 0.06 eV per atom

Lattice parameters (Å, degrees): 3.9307 6.0421 14.0812 77.61 90.00 90.00
Fractional positions:
Sr: 0.0000 0.1478 0.7044
Sr: 0.0000 0.8522 0.2956
Ca: 0.5000 0.2873 0.4254
Ca: 0.5000 0.7127 0.5746
Ac: 0.5000 0.4322 0.1357
Ac: 0.5000 0.5678 0.8643
Ac: 0.0000 0.0000 0.0000

Entry 2:
Entry from Alexandria: AgAsSe2N after structural relaxation (PBE-GGA).

## Properties
**Symmetry**: P4/mmm
**Formation energy (no corrections)**: 426 kJ/mol of formula units
**Polymorph energy (0 for the lowest one)**: 67 meV per atom
**Electronic total energy**: -18.38 eV for the cell shown

Lattice parameters (Å, degrees): 4.6198 4.6198 4.2265 90.00 90.00 90.00
Fractional positions:
As: 0.0000 0.0000 0.5000
Se: 0.0000 0.5000 0.0000
Se: 0.5000 0.0000 0.0000
Ag: 0.5000 0.5000 0.5000
N: 0.0000 0.0000 0.0000

Entry 3:
Entry from Alexandria: SrZr2Cd after structural relaxation (PBE-GGA).

## Properties
**Symmetry**: I-4m2
**Electronic total energy**: -18.28 eV for the cell shown
**DFT formation energy**: 0.35 eV per atom

Lattice parameters (Å, degrees): 5.7220 5.7220 5.7220 130.86 130.86 72.03
Each line ends with the local moment (μB).
Fractional positions:
Cd: 0.5000 0.5000 0.0000  -0.01
Sr: 0.7500 0.2500 0.5000  0.05
Zr: 0.0000 0.0000 0.0000  0.44
Zr: 0.2500 0.7500 0.5000  0.40

| no. | mass density (g/cm3) |
| --- | --- |
| 1 | 4.76 |
| 2 | 6.53 |
| 3 | 6.06 |